Computed, not measured: crystalline Cs2RbSnI5 at its relaxed geometry at the PBE level of DFT.

Cell: 5.5758 11.3229 15.6444 Å, 90.00 90.00 104.25°
Fractional positions:
Cs  0.8912  0.7825  0.1900
I  0.6180  0.2360  0.5000
Cs  0.8563  0.7127  0.8119
I  0.3379  0.6758  0.3741
I  0.0437  0.0873  0.0410
Rb  0.2125  0.4251  0.0200
Sn  0.4727  0.9454  0.4481
I  0.9563  0.9127  0.5410
Cs  0.1437  0.2873  0.3119
Rb  0.7875  0.5749  0.5200
Cs  0.1088  0.2175  0.6900
I  0.7182  0.4363  0.1743
I  0.2818  0.5637  0.6743
I  0.6621  0.3242  0.8741
Sn  0.5273  0.0546  0.9481
I  0.3820  0.7640  0.0000
I  0.4854  0.9708  0.7645
I  0.5146  0.0292  0.2645

Calculated values
uncorrected formation energy = -1.18 eV/atom


Computed, not measured: crystalline MgZrCd3 at its relaxed geometry at the PBE level of DFT.

Cell: 5.6053 5.6053 5.6053 Å, 90.00 90.00 90.00°
Each line ends with the local moment (μB).
Fractional positions:
Cd  0.0000  0.5000  0.0000  0.06
Cd  0.0000  0.0000  0.5000  0.03
Cd  0.5000  0.0000  0.0000  0.09
Zr  0.0000  0.0000  0.0000  0.87
Mg  0.5000  0.5000  0.5000  -0.01

Calculated values
energy above the most stable polymorph in this dataset = 4.72 eV per formula unit


Computed, not measured: crystalline MnFe2MoH at its relaxed geometry at the PBE level of DFT.

Cell: 3.6530 3.6530 3.7033 Å, 90.00 90.00 90.00°
Each line ends with the local moment (μB).
Fractional positions:
Mo  0.5000  0.5000  0.5000  -0.17
H  0.0000  0.0000  0.0000  0.00
Mn  0.0000  0.0000  0.5000  1.68
Fe  0.0000  0.5000  0.0000  -0.53
Fe  0.5000  0.0000  0.0000  -0.53

Calculated values
energy above the most stable polymorph in this dataset = 0.00 eV per formula unit


Computed, not measured: crystalline SmZnGa2 at its relaxed geometry at the PBE level of DFT.

Cell: 4.2206 10.9568 14.0252 Å, 90.00 90.00 90.00°
Fractional positions:
Zn  0.2500  0.4525  0.0543
Ga  0.7500  0.5350  0.4651
Ga  0.2500  0.2488  0.7970
Sm  0.7500  0.2482  0.4531
Sm  0.2500  0.5346  0.2972
Ga  0.7500  0.7649  0.8827
Ga  0.2500  0.0437  0.3687
Zn  0.7500  0.1687  0.7094
Zn  0.7500  0.3313  0.2094
Sm  0.2500  0.7482  0.0469
Ga  0.7500  0.9563  0.6313
Ga  0.7500  0.7351  0.3827
Sm  0.2500  0.9654  0.7972
Ga  0.7500  0.7512  0.2030
Ga  0.2500  0.0350  0.0349
Zn  0.2500  0.0475  0.5543
Ga  0.2500  0.4650  0.5349
Sm  0.7500  0.4654  0.7028
Zn  0.2500  0.6687  0.7906
Sm  0.7500  0.0346  0.2028
Ga  0.7500  0.5437  0.1313
Ga  0.7500  0.9650  0.9651
Ga  0.2500  0.4563  0.8687
Zn  0.2500  0.8313  0.2906
Ga  0.2500  0.2351  0.1173
Zn  0.7500  0.9525  0.4457
Sm  0.7500  0.2518  0.9531
Ga  0.7500  0.7488  0.7030
Ga  0.2500  0.2512  0.2970
Ga  0.2500  0.2649  0.6173
Sm  0.2500  0.7518  0.5469
Zn  0.7500  0.5475  0.9457

Calculated values
E = -3.538 eV per atom


Computed, not measured: crystalline TaIrW at its relaxed geometry at the PBE level of DFT.

Cell: 3.7862 3.7862 7.6649 Å, 104.30 104.30 90.00°
Fractional positions:
W  0.5000  0.0000  0.0000
W  0.0000  0.5000  0.0000
Ir  0.8587  0.8587  0.7174
Ta  0.6810  0.6810  0.3620
Ta  0.3190  0.3190  0.6380
Ir  0.1413  0.1413  0.2826

Calculated values
energy above the most stable polymorph in this dataset = 0.41 eV per formula unit


Computed, not measured: crystalline Tl2ZnCdAg at its relaxed geometry at the PBE level of DFT.

Cell: 3.3138 4.5405 15.9938 Å, 90.00 90.00 90.00°
Fractional positions:
Zn  0.0000  0.0000  0.9587
Tl  0.5000  0.0000  0.3792
Cd  0.5000  0.5000  0.6156
Ag  0.0000  0.0000  0.5553
Tl  0.0000  0.5000  0.2462
Ag  0.0000  0.5000  0.0553
Tl  0.5000  0.5000  0.8792
Cd  0.5000  0.0000  0.1156
Tl  0.0000  0.0000  0.7462
Zn  0.0000  0.5000  0.4587

Calculated values
energy above the most stable polymorph in this dataset = 0.00 eV per formula unit


Computed, not measured: crystalline RbNa2Sn at its relaxed geometry at the PBE level of DFT.

Cell: 7.1013 11.0811 9.6480 Å, 124.43 90.00 90.00°
Fractional positions:
Rb  0.5998  0.8869  0.6273
Na  0.1446  0.8651  0.8235
Rb  0.9002  0.3869  0.6273
Na  0.6446  0.6349  0.1765
Sn  0.9030  0.9365  0.3304
Na  0.1873  0.7176  0.0380
Na  0.3127  0.2176  0.0380
Na  0.3554  0.3651  0.8235
Na  0.8127  0.2824  0.9620
Rb  0.0998  0.6131  0.3727
Sn  0.0970  0.0635  0.6696
Rb  0.4002  0.1131  0.3727
Sn  0.5970  0.4365  0.3304
Na  0.6873  0.7824  0.9620
Sn  0.4030  0.5635  0.6696
Na  0.8554  0.1349  0.1765

Calculated values
E = -1.986 eV per atom


Computed, not measured: crystalline Li5Nd3F12 at its relaxed geometry at the PBE level of DFT.

Cell: 10.9285 10.9285 10.9285 Å, 109.47 109.47 109.47°
Fractional positions:
F  0.8825  0.2915  0.4782
F  0.0909  0.1866  0.2085
F  0.1866  0.0957  0.9782
Li  0.0000  0.0000  0.0000
Li  0.5000  0.0000  0.0000
Nd  0.1250  0.8750  0.7500
F  0.6175  0.5957  0.9091
Li  0.8750  0.6250  0.7500
F  0.5218  0.2085  0.1175
F  0.0957  0.9091  0.1175
F  0.1175  0.7085  0.5218
Li  0.3750  0.1250  0.7500
F  0.7085  0.5909  0.1866
F  0.8825  0.5909  0.9043
Li  0.1250  0.7500  0.3750
F  0.9782  0.5957  0.1866
Li  0.1250  0.3750  0.2500
F  0.9043  0.0909  0.8825
Li  0.0000  0.0000  0.5000
F  0.3825  0.9782  0.7915
F  0.2915  0.8825  0.9782
Nd  0.2500  0.6250  0.8750
Li  0.2500  0.8750  0.1250
Li  0.6250  0.7500  0.8750
F  0.4043  0.0218  0.3134
F  0.0957  0.1866  0.4782
F  0.0909  0.9043  0.3825
Li  0.5000  0.0000  0.5000
F  0.4091  0.1175  0.5957
F  0.1866  0.0909  0.7085
F  0.3825  0.4043  0.0909
Nd  0.7500  0.8750  0.6250
F  0.5218  0.3134  0.9043
F  0.9091  0.8134  0.7915
F  0.5909  0.7085  0.6866
F  0.5957  0.9782  0.6866
F  0.4782  0.7915  0.8825
Li  0.8750  0.2500  0.6250
F  0.3134  0.5218  0.4043
Li  0.0000  0.5000  0.0000
Li  0.5000  0.5000  0.5000
Li  0.2500  0.3750  0.6250
Li  0.3750  0.2500  0.1250
F  0.2915  0.4091  0.8134
Nd  0.3750  0.7500  0.6250
Li  0.7500  0.6250  0.3750
F  0.9782  0.3825  0.2915
F  0.8134  0.9091  0.2915
F  0.7915  0.3134  0.9091
F  0.5957  0.6175  0.4091
F  0.8134  0.9043  0.0218
F  0.9043  0.8134  0.5218
F  0.6866  0.2085  0.5909
Nd  0.8750  0.7500  0.1250
F  0.2085  0.5218  0.6175
F  0.7915  0.4782  0.3825
F  0.1175  0.4091  0.0957
Nd  0.6250  0.2500  0.3750
Nd  0.8750  0.1250  0.2500
F  0.5909  0.8825  0.4043
F  0.7085  0.1175  0.0218
Nd  0.2500  0.1250  0.3750
F  0.2085  0.6866  0.0909
Nd  0.3750  0.6250  0.2500
Nd  0.7500  0.3750  0.1250
F  0.4043  0.3825  0.5909
Nd  0.1250  0.2500  0.8750
F  0.0218  0.6175  0.7085
Li  0.5000  0.5000  0.0000
F  0.6866  0.4782  0.5957
Nd  0.6250  0.3750  0.7500
F  0.9091  0.0957  0.6175
F  0.4782  0.6866  0.0957
F  0.0218  0.4043  0.8134
Li  0.6250  0.8750  0.2500
F  0.4091  0.2915  0.3134
F  0.3134  0.7915  0.4091
F  0.6175  0.0218  0.2085
Li  0.0000  0.5000  0.5000
Li  0.7500  0.1250  0.8750

Calculated values
uncorrected formation energy = -3.29 eV/atom


Computed, not measured: crystalline PrHfIr2 at its relaxed geometry at the PBE level of DFT.

Cell: 3.3372 3.3372 7.2036 Å, 90.00 90.00 90.00°
Fractional positions:
Hf  0.5000  0.5000  0.0000
Ir  0.0000  0.0000  0.7907
Pr  0.5000  0.5000  0.5000
Ir  0.0000  0.0000  0.2093

Calculated values
E = -8.837 eV per atom


Computed, not measured: crystalline TlVI2Cl at its relaxed geometry at the PBE level of DFT.

Cell: 5.7645 5.7645 4.8524 Å, 90.00 90.00 90.00°
Each line ends with the local moment (μB).
Fractional positions:
V  0.0000  0.0000  0.0000  2.59
I  0.0000  0.5000  0.0000  -0.01
Cl  0.0000  0.0000  0.5000  0.00
Tl  0.5000  0.5000  0.5000  0.01
I  0.5000  0.0000  0.0000  -0.01

Calculated values
uncorrected formation energy = -0.60 eV/atom


Computed, not measured: crystalline BaScZn2Sb at its relaxed geometry at the PBE level of DFT.

Cell: 5.6245 6.3335 5.6245 Å, 90.00 90.00 90.00°
Each line ends with the local moment (μB).
Fractional positions:
Ba  0.0000  0.0000  0.0000  0.00
Sb  0.0000  0.5000  0.0000  -0.07
Sc  0.5000  0.5000  0.5000  0.70
Zn  0.5000  0.0000  0.0000  0.01
Zn  0.0000  0.0000  0.5000  0.00

Calculated values
uncorrected formation energy = 0.86 eV/atom


Computed, not measured: crystalline Pr6SbSe4 at its relaxed geometry at the PBE level of DFT.

Cell: 4.2704 7.2764 21.6930 Å, 90.00 90.00 107.06°
Fractional positions:
Pr  0.5000  0.0000  0.0000
Pr  0.2278  0.4556  0.5938
Se  0.8576  0.7153  0.5372
Se  0.1424  0.2847  0.4628
Se  0.5847  0.1694  0.8757
Pr  0.7722  0.5444  0.4062
Se  0.4153  0.8306  0.1243
Se  0.8576  0.7153  0.9628
Sb  0.3269  0.6538  0.7500
Pr  0.2278  0.4556  0.9062
Pr  0.0540  0.1079  0.1637
Pr  0.7722  0.5444  0.0938
Se  0.5847  0.1694  0.6243
Pr  0.3421  0.6842  0.2500
Se  0.1424  0.2847  0.0372
Pr  0.6579  0.3158  0.7500
Sb  0.6731  0.3462  0.2500
Pr  0.5000  0.0000  0.5000
Pr  0.9460  0.8921  0.8363
Pr  0.0540  0.1079  0.3363
Pr  0.9460  0.8921  0.6637
Se  0.4153  0.8306  0.3757

Calculated values
uncorrected formation energy = -1.55 eV/atom